# PBE+U Na2VPCO7, relaxed
data_Na2VPCO7
_cell_length_a 5.3157
_cell_length_b 6.4995
_cell_length_c 9.0363
_cell_angle_alpha 90.00
_cell_angle_beta 92.56
_cell_angle_gamma 90.00
_space_group_name_H-M_alt 'P 1'
_space_group_IT_number 1
loop_
_space_group_symop_operation_xyz
'x,y,z'
loop_
_atom_site_label
_atom_site_type_symbol
_atom_site_fract_x
_atom_site_fract_y
_atom_site_fract_z
Na1 Na 0.2196 0.0000 0.0840
Na2 Na 0.2598 0.2621 0.7263
Na3 Na 0.7402 0.7621 0.2737
Na4 Na 0.7804 0.5000 0.9160
V1 V 0.2159 0.4684 0.3389
V2 V 0.7841 0.9684 0.6611
P1 P 0.2768 0.9740 0.4255
P2 P 0.7232 0.4740 0.5745
C1 C 0.2956 0.4757 0.0689
C2 C 0.7044 0.9757 0.9311
O1 O 0.0652 0.4714 0.1175
O2 O 0.1195 0.9851 0.5643
O3 O 0.2017 0.7863 0.3245
O4 O 0.2261 0.1627 0.3219
O5 O 0.3417 0.4573 0.9334
O6 O 0.4392 0.4587 0.5305
O7 O 0.4736 0.4952 0.1742
O8 O 0.5264 0.9952 0.8258
O9 O 0.5608 0.9587 0.4695
O10 O 0.6583 0.9573 0.0666
O11 O 0.7739 0.6627 0.6781
O12 O 0.7983 0.2863 0.6755
O13 O 0.8805 0.4851 0.4357
O14 O 0.9348 0.9714 0.8825
# **Density**: 2.7 Mg/m³
# **E_tot**: -6.965 eV per atom
# **D(E_F)**: 0.0 states/eV/cell
# **Volume**: 13.0 Å³ per atom